BaAlP3: optimized geometry, PBE.

abc: 5.6866 5.6866 5.6866
angles: 90.00 90.00 90.00
Closest atoms and distances in Å follow each position.
Element x y z (fractional)
Ba1 0.0000 0.0000 0.0000  6 P 2.84
Al1 0.5000 0.5000 0.5000  12 P 4.02
P1 0.0000 0.0000 0.5000  2 Ba 2.84
P2 0.0000 0.5000 0.0000  2 Ba 2.84
P3 0.5000 0.0000 0.0000  2 Ba 2.84

Computed properties:
Magnetization   0.00 μB/cell
Distance to the lowest polymorph of the same formula   8.24 eV/f.u.
V   36.78 Å³/atom
Energy relative to the elements   1.49 eV per atom
VASP energy   -2.889 eV per atom